1.
A plane-wave DFT calculation with PBE was carried out for a relaxed structure of ZnInIr.

Calculated values
spin magnetization	0.003	μB/atom
DFT total energy	-25.96	eV for the cell shown
formation energy	-10	kJ/mol of formula units
DOS at the Fermi energy	2.46	states/eV/f.u.

Structure (extended XYZ):
```
6
Lattice="3.307 0.000 0.000 0.000 3.307 0.000 0.000 0.000 9.156" Properties=species:S:1:pos:R:3 pbc="T T T"
Zn 0.000 0.000 0.000
Zn 1.653 1.653 4.578
In 0.000 0.000 2.884
In 1.653 1.653 7.461
Ir 0.000 0.000 5.814
Ir 1.653 1.653 1.236
```

=====

2.
A plane-wave DFT calculation with PBE was carried out for a relaxed structure of VSnRh2.

Calculated values
spin magnetization	0.561	μB/atom
DFT total energy	-29.00	eV for the cell shown
formation energy	-113	kJ/mol of formula units
DOS at the Fermi energy	5.07	states/eV/f.u.

Structure (extended XYZ):
```
4
Lattice="4.146 0.000 0.000 0.000 4.146 0.000 0.000 0.000 3.653" Properties=species:S:1:pos:R:3 pbc="T T T"
V 0.000 0.000 0.000
Sn 2.073 2.073 0.000
Rh 0.000 2.073 1.826
Rh 2.073 0.000 1.826
```

=====

3.
A plane-wave DFT calculation with PBE was carried out for a relaxed structure of Ac2Mg3Zn5.

Calculated values
spin magnetization	0.000	μB/atom
DFT total energy	-42.80	eV for the cell shown
formation energy	-196	kJ/mol of formula units
DOS at the Fermi energy	7.98	states/eV/f.u.

Structure (extended XYZ):
```
20
Lattice="-5.503 6.790 3.158 5.503 -6.790 3.158 5.503 6.790 -3.158" Properties=species:S:1:pos:R:3 pbc="T T T"
Ac 2.548 1.698 0.000
Ac 2.548 -1.698 3.158
Ac 2.955 8.488 0.000
Ac 2.955 5.092 3.158
Mg 4.400 -4.844 3.158
Mg 5.503 0.000 1.579
Mg 4.400 4.844 0.000
Mg 1.103 1.946 3.158
Mg 0.000 6.790 1.579
Mg 1.103 11.634 0.000
Zn 5.503 -2.858 1.579
Zn 7.183 1.676 0.000
Zn 0.000 0.000 1.579
Zn 1.680 5.114 0.000
Zn 5.503 2.858 1.579
Zn 0.000 3.932 1.579
Zn 3.822 1.676 3.158
Zn 0.000 0.000 4.738
Zn -1.680 5.114 3.158
Zn 0.000 9.648 1.579
```

=====

4.
A plane-wave DFT calculation with PBE was carried out for a relaxed structure of AcNdBi2.

Calculated values
offset from the most stable computed form	115	meV/atom
spin magnetization	0.000	μB/atom
DFT total energy	-60.13	eV for the cell shown
formation energy	-329	kJ/mol of formula units
DOS at the Fermi energy	0.34	states/eV/f.u.

Structure (extended XYZ):
```
12
Lattice="4.690 0.000 0.000 -2.345 4.061 0.000 0.000 0.000 24.373" Properties=species:S:1:pos:R:3 pbc="T T T"
Ac 0.000 0.000 0.000
Ac 0.000 2.708 16.249
Ac 2.345 1.354 8.124
Nd 0.000 0.000 4.160
Nd 0.000 2.708 20.408
Nd 2.345 1.354 12.284
Bi 0.000 0.000 10.291
Bi 0.000 0.000 14.187
Bi 0.000 2.708 2.167
Bi 0.000 2.708 6.063
Bi 2.345 1.354 18.415
Bi 2.345 1.354 22.311
```

=====

5.
A plane-wave DFT calculation with PBE was carried out for a relaxed structure of Li2AcAg10.

Calculated values
spin magnetization	0.000	μB/atom
DFT total energy	-38.07	eV for the cell shown
formation energy	-157	kJ/mol of formula units
DOS at the Fermi energy	5.60	states/eV/f.u.

Structure (extended XYZ):
```
13
Lattice="0.000 6.674 6.930 2.726 0.000 6.930 2.726 6.674 0.000" Properties=species:S:1:pos:R:3 pbc="T T T"
Li 1.363 0.000 3.465
Li 1.363 6.674 3.465
Ac 0.000 0.000 0.000
Ag 1.363 3.337 0.000
Ag 2.726 4.342 2.465
Ag 2.726 5.240 5.290
Ag 2.726 9.007 2.465
Ag 2.726 8.108 5.290
Ag 1.363 3.337 6.930
Ag 2.726 5.240 8.571
Ag 2.726 4.342 11.396
Ag 2.726 8.108 8.571
Ag 2.726 9.007 11.396
```